Entry from Alexandria via LeMat-Bulk: CeAl2Ga3 after structural relaxation (PBE-GGA).

Cell and atoms, written as CIF:
```
data_CeAl2Ga3
_chemical_formula_sum 'Ce1 Al2 Ga3'
_cell_length_a 4.5625
_cell_length_b 4.5625
_cell_length_c 6.4215
_cell_angle_alpha 90.00
_cell_angle_beta 90.00
_cell_angle_gamma 120.00
_symmetry_space_group_name_H-M 'P -3 m 1'
_symmetry_Int_Tables_number 164
_symmetry_space_group_name_Hall '-P 3 2"'
loop_
_atom_site_label
_atom_site_type_symbol
_atom_site_fract_x
_atom_site_fract_y
_atom_site_fract_z
_atom_site_occupancy
Ce1 Ce 0.0000 0.0000 0.0000 1
Al1 Al 0.3333 0.6667 0.6925 1
Ga1 Ga 0.0000 0.0000 0.5000 1
Ga2 Ga 0.3333 0.6667 0.2577 1
```

Values from the calculation:
The calculation puts the density of states at the Fermi level at 5.24 states/eV/cell. As for the formation energy: -0.339 eV/atom. The total magnetization is 0.510 μB per formula unit.

***

Entry from Alexandria via LeMat-Bulk: Ce7Al2Ga2 after structural relaxation (PBE-GGA).

Cell and atoms, written as CIF:
```
data_Ce7Al2Ga2
_chemical_formula_sum 'Ce14 Al4 Ga4'
_cell_length_a 10.8135
_cell_length_b 8.0192
_cell_length_c 6.9969
_cell_angle_alpha 90.00
_cell_angle_beta 90.14
_cell_angle_gamma 90.00
_symmetry_space_group_name_H-M 'C 1 2/m 1'
_symmetry_Int_Tables_number 12
loop_
_symmetry_equiv_pos_as_xyz
'x,y,z'
'-x,-y,-z'
'-x,y,-z'
'x,-y,z'
'x+1/2,y+1/2,z'
'-x+1/2,-y+1/2,-z'
'-x+1/2,y+1/2,-z'
'x+1/2,-y+1/2,z'
loop_
_atom_site_label
_atom_site_type_symbol
_atom_site_fract_x
_atom_site_fract_y
_atom_site_fract_z
_atom_site_occupancy
Ce1 Ce 0.0000 0.0000 0.0000 1
Ce2 Ce 0.0012 0.5000 0.2964 1
Ce3 Ce 0.2495 0.2502 0.3054 1
Al1 Al 0.0000 0.1560 0.5000 1
Ga1 Ga 0.2070 0.5000 0.9992 1
```

Values from the calculation:
The calculation puts the density of states at the Fermi level at 58.60 states/eV/cell. As for the formation energy: -0.082 eV/atom. The total magnetization is 4.037 μB per formula unit.

***

Entry from Alexandria via LeMat-Bulk: CeAlGa2 after structural relaxation (PBE-GGA).

Cell and atoms, written as CIF:
```
data_CeAlGa2
_chemical_formula_sum 'Ce2 Al2 Ga4'
_cell_length_a 4.4001
_cell_length_b 5.8448
_cell_length_c 7.0105
_cell_angle_alpha 90.00
_cell_angle_beta 90.00
_cell_angle_gamma 90.00
_symmetry_space_group_name_H-M 'A m m 2'
_symmetry_Int_Tables_number 38
loop_
_symmetry_equiv_pos_as_xyz
'x,y,z'
'-x,-y,z'
'-x,y,z'
'x,-y,z'
'x,y+1/2,z+1/2'
'-x,-y+1/2,z+1/2'
'-x,y+1/2,z+1/2'
'x,-y+1/2,z+1/2'
loop_
_atom_site_label
_atom_site_type_symbol
_atom_site_fract_x
_atom_site_fract_y
_atom_site_fract_z
_atom_site_occupancy
Ce1 Ce 0.0000 0.0000 0.0000 1
Al1 Al 0.5000 0.0000 0.6911 1
Ga1 Ga 0.0000 0.0000 0.4995 1
Ga2 Ga 0.5000 0.0000 0.2963 1
```

Values from the calculation:
The calculation puts the density of states at the Fermi level at 12.60 states/eV/cell. As for the formation energy: -0.210 eV/atom. The total magnetization is 0.911 μB per formula unit.

***

Entry from Alexandria via LeMat-Bulk: CeAl2Ga after structural relaxation (PBE-GGA).

Cell and atoms, written as CIF:
```
data_CeAl2Ga
_chemical_formula_sum 'Ce1 Al2 Ga1'
_cell_length_a 4.3217
_cell_length_b 4.3217
_cell_length_c 4.3702
_cell_angle_alpha 90.00
_cell_angle_beta 90.00
_cell_angle_gamma 90.00
_symmetry_space_group_name_H-M 'P 4/m m m'
_symmetry_Int_Tables_number 123
_symmetry_space_group_name_Hall '-P 4 2'
loop_
_atom_site_label
_atom_site_type_symbol
_atom_site_fract_x
_atom_site_fract_y
_atom_site_fract_z
_atom_site_occupancy
Ce1 Ce 0.0000 0.0000 0.0000 1
Al1 Al 0.0000 0.5000 0.5000 1
Ga1 Ga 0.5000 0.5000 0.0000 1
```

Values from the calculation:
The calculation puts the density of states at the Fermi level at 4.73 states/eV/cell. As for the formation energy: -0.398 eV/atom. The total magnetization is 0.351 μB per formula unit.

***

Entry from Alexandria via LeMat-Bulk: CeAl2Ga3 after structural relaxation (PBE-GGA).

Cell and atoms, written as CIF:
```
data_CeAl2Ga3
_chemical_formula_sum 'Ce4 Al8 Ga12'
_cell_length_a 7.5617
_cell_length_b 10.6211
_cell_length_c 6.3277
_cell_angle_alpha 90.00
_cell_angle_beta 90.00
_cell_angle_gamma 90.00
_symmetry_space_group_name_H-M 'C m c m'
_symmetry_Int_Tables_number 63
_symmetry_space_group_name_Hall '-C 2c 2'
loop_
_atom_site_label
_atom_site_type_symbol
_atom_site_fract_x
_atom_site_fract_y
_atom_site_fract_z
_atom_site_occupancy
Ce1 Ce 0.0000 0.1597 0.2500 1
Al1 Al 0.1781 0.5000 0.0000 1
Ga1 Ga 0.0000 0.3516 0.7500 1
Ga2 Ga 0.1663 0.1453 0.7500 1
```

Values from the calculation:
The calculation puts the density of states at the Fermi level at 29.49 states/eV/cell. As for the formation energy: -0.186 eV/atom. The total magnetization is 0.846 μB per formula unit.

***

Entry from Alexandria via LeMat-Bulk: CeGdAlGa after structural relaxation (PBE-GGA).

Cell and atoms, written as CIF:
```
data_CeGdAlGa
_chemical_formula_sum 'Ce4 Gd4 Al4 Ga4'
_cell_length_a 7.2883
_cell_length_b 7.2883
_cell_length_c 7.2883
_cell_angle_alpha 90.00
_cell_angle_beta 90.00
_cell_angle_gamma 90.00
_symmetry_space_group_name_H-M 'F -4 3 m'
_symmetry_Int_Tables_number 216
_symmetry_space_group_name_Hall 'F -4 2 3'
loop_
_atom_site_label
_atom_site_type_symbol
_atom_site_fract_x
_atom_site_fract_y
_atom_site_fract_z
_atom_site_occupancy
Ce1 Ce 0.0000 0.0000 0.0000 1
Gd1 Gd 0.0000 0.0000 0.5000 1
Al1 Al 0.2500 0.2500 0.2500 1
Ga1 Ga 0.2500 0.2500 0.7500 1
```

Values from the calculation:
The calculation puts the density of states at the Fermi level at 22.14 states/eV/cell. As for the formation energy: -0.417 eV/atom. The total magnetization is 6.243 μB per formula unit.

***

Entry from Alexandria via LeMat-Bulk: Ce2Al3Ga4Hg after structural relaxation (PBE-GGA).

Cell and atoms, written as CIF:
```
data_Ce2Al3Ga4Hg
_chemical_formula_sum 'Ce2 Al3 Ga4 Hg1'
_cell_length_a 4.3625
_cell_length_b 4.3625
_cell_length_c 10.8682
_cell_angle_alpha 90.00
_cell_angle_beta 90.00
_cell_angle_gamma 90.00
_symmetry_space_group_name_H-M 'P -4 m 2'
_symmetry_Int_Tables_number 115
loop_
_symmetry_equiv_pos_as_xyz
'x,y,z'
'y,-x,-z'
'-x,-y,z'
'-y,x,-z'
'-x,y,z'
'-y,-x,-z'
'x,-y,z'
'y,x,-z'
loop_
_atom_site_label
_atom_site_type_symbol
_atom_site_fract_x
_atom_site_fract_y
_atom_site_fract_z
_atom_site_occupancy
Ce1 Ce 0.0000 0.5000 0.2409 1
Al1 Al 0.0000 0.5000 0.8713 1
Al2 Al 0.5000 0.5000 0.5000 1
Ga1 Ga 0.0000 0.0000 0.0000 1
Ga2 Ga 0.0000 0.5000 0.6454 1
Ga3 Ga 0.5000 0.5000 0.0000 1
Hg1 Hg 0.0000 0.0000 0.5000 1
```

Values from the calculation:
The calculation puts the density of states at the Fermi level at 16.11 states/eV/cell. As for the formation energy: -0.343 eV/atom. The total magnetization is 2.100 μB per formula unit.

***

Entry from Alexandria via LeMat-Bulk: CeAlGaHg after structural relaxation (PBE-GGA).

Cell and atoms, written as CIF:
```
data_CeAlGaHg
_chemical_formula_sum 'Ce4 Al4 Ga4 Hg4'
_cell_length_a 7.0485
_cell_length_b 7.0485
_cell_length_c 7.0485
_cell_angle_alpha 90.00
_cell_angle_beta 90.00
_cell_angle_gamma 90.00
_symmetry_space_group_name_H-M 'F -4 3 m'
_symmetry_Int_Tables_number 216
_symmetry_space_group_name_Hall 'F -4 2 3'
loop_
_atom_site_label
_atom_site_type_symbol
_atom_site_fract_x
_atom_site_fract_y
_atom_site_fract_z
_atom_site_occupancy
Ce1 Ce 0.0000 0.0000 0.0000 1
Al1 Al 0.0000 0.0000 0.5000 1
Ga1 Ga 0.2500 0.2500 0.2500 1
Hg1 Hg 0.2500 0.2500 0.7500 1
```

Values from the calculation:
The calculation puts the density of states at the Fermi level at 10.22 states/eV/cell. As for the formation energy: -0.296 eV/atom. The total magnetization is 0.000 μB per formula unit.